5
Lattice="4.458 0.000 0.000 0.000 5.527 0.000 0.000 0.000 4.458" Properties=species:S:1:pos:R:3 comment="ScTcB2Pb GGA-PBE optimized geometry" formation_energy_ev_per_atom=2.338 volume_a3_per_atom=21.97 spacegroup="P4/mmm (123)" pbc="T T T"
B 0.000 0.000 2.229
B 2.229 0.000 0.000
Pb 0.000 0.000 0.000
Tc 2.229 2.764 2.229
Sc 0.000 2.764 0.000